A | CuBiPt after structural relaxation. Source: Alexandria, functional PBE.

```
data_CuBiPt
_cell_length_a 6.342
_cell_length_b 6.342
_cell_length_c 6.342
_cell_angle_alpha 90.00
_cell_angle_beta 90.00
_cell_angle_gamma 90.00
_symmetry_space_group_name_H-M 'F -4 3 m'
_symmetry_Int_Tables_number 216
_symmetry_space_group_name_Hall 'F -4 2 3'
loop_
_atom_site_label
_atom_site_type_symbol
_atom_site_fract_x
_atom_site_fract_y
_atom_site_fract_z
_atom_site_occupancy
Cu1 Cu 0.000 0.000 0.000 1
Bi1 Bi 0.000 0.000 0.500 1
Pt1 Pt 0.250 0.250 0.750 1
```

Results
Total magnetization ... 0.0 Bohr magnetons per cell
Volume ... 21.3 A^3/atom

B | CuBiPt after structural relaxation. Source: Alexandria, functional PBE.

```
data_CuBiPt
_cell_length_a 4.938
_cell_length_b 4.958
_cell_length_c 9.205
_cell_angle_alpha 90.00
_cell_angle_beta 90.00
_cell_angle_gamma 90.00
_symmetry_space_group_name_H-M 'C m m m'
_symmetry_Int_Tables_number 65
_symmetry_space_group_name_Hall '-C 2 2'
loop_
_atom_site_label
_atom_site_type_symbol
_atom_site_fract_x
_atom_site_fract_y
_atom_site_fract_z
_atom_site_occupancy
Cu1 Cu 0.000 0.000 0.130 1
Bi1 Bi 0.000 0.500 0.313 1
Pt1 Pt 0.000 0.000 0.500 1
Pt2 Pt 0.000 0.500 0.000 1
```

Results
Total magnetization ... 0.0 Bohr magnetons per cell
Volume ... 18.8 A^3/atom

The least stable of them is B.

A | RbCu2Bi2 after structural relaxation. Source: Alexandria, functional PBE.

```
data_RbCu2Bi2
_cell_length_a 4.798
_cell_length_b 4.798
_cell_length_c 11.925
_cell_angle_alpha 90.00
_cell_angle_beta 90.00
_cell_angle_gamma 90.00
_symmetry_space_group_name_H-M 'I 4/m m m'
_symmetry_Int_Tables_number 139
_symmetry_space_group_name_Hall '-I 4 2'
loop_
_atom_site_label
_atom_site_type_symbol
_atom_site_fract_x
_atom_site_fract_y
_atom_site_fract_z
_atom_site_occupancy
Rb1 Rb 0.000 0.000 0.000 1
Cu1 Cu 0.000 0.500 0.250 1
Bi1 Bi 0.000 0.000 0.364 1
```

Results
Total magnetization ... 0.0 Bohr magnetons per cell
Volume ... 27.5 A^3/atom

B | RbCu2Bi2 after structural relaxation. Source: Alexandria, functional PBE.

```
data_RbCu2Bi2
_cell_length_a 4.913
_cell_length_b 4.913
_cell_length_c 11.255
_cell_angle_alpha 90.00
_cell_angle_beta 90.00
_cell_angle_gamma 90.00
_symmetry_space_group_name_H-M 'I 4/m m m'
_symmetry_Int_Tables_number 139
_symmetry_space_group_name_Hall '-I 4 2'
loop_
_atom_site_label
_atom_site_type_symbol
_atom_site_fract_x
_atom_site_fract_y
_atom_site_fract_z
_atom_site_occupancy
Rb1 Rb 0.000 0.000 0.000 1
Cu1 Cu 0.000 0.000 0.383 1
Bi1 Bi 0.000 0.500 0.250 1
```

Results
Total magnetization ... 0.0 Bohr magnetons per cell
Volume ... 27.2 A^3/atom

C | RbCu2Bi2 after structural relaxation. Source: Alexandria, functional PBE.

```
data_RbCu2Bi2
_cell_length_a 9.002
_cell_length_b 9.002
_cell_length_c 3.257
_cell_angle_alpha 90.00
_cell_angle_beta 90.00
_cell_angle_gamma 90.00
_symmetry_space_group_name_H-M 'P 4/m b m'
_symmetry_Int_Tables_number 127
_symmetry_space_group_name_Hall '-P 4 2ab'
loop_
_atom_site_label
_atom_site_type_symbol
_atom_site_fract_x
_atom_site_fract_y
_atom_site_fract_z
_atom_site_occupancy
Rb1 Rb 0.000 0.000 0.000 1
Cu1 Cu 0.130 0.370 0.500 1
Bi1 Bi 0.141 0.641 0.000 1
```

Results
Total magnetization ... 0.0 Bohr magnetons per cell
Volume ... 26.4 A^3/atom

D | RbCu2Bi2 after structural relaxation. Source: Alexandria, functional PBE.

```
data_RbCu2Bi2
_cell_length_a 8.879
_cell_length_b 8.879
_cell_length_c 3.374
_cell_angle_alpha 90.00
_cell_angle_beta 90.00
_cell_angle_gamma 90.00
_symmetry_space_group_name_H-M 'P 4/m b m'
_symmetry_Int_Tables_number 127
_symmetry_space_group_name_Hall '-P 4 2ab'
loop_
_atom_site_label
_atom_site_type_symbol
_atom_site_fract_x
_atom_site_fract_y
_atom_site_fract_z
_atom_site_occupancy
Rb1 Rb 0.000 0.000 0.000 1
Cu1 Cu 0.103 0.397 0.000 1
Bi1 Bi 0.154 0.654 0.500 1
```

Results
Total magnetization ... 0.0 Bohr magnetons per cell
Volume ... 26.6 A^3/atom

The least stable of them is C.